# 1
PBE Pm2Co2CuNi5, optimized geometry; formation energy = -45.6 meV per atom; SG = P4/mbm (127)
1.0
8.7533 0.0000 0.0000
0.0000 8.7533 0.0000
0.0000 0.0000 3.8353
Pm Co Cu Ni
4 4 2 10
direct
0.1869 0.3131 0.0000
0.3131 0.8131 0.0000
0.6869 0.1869 0.0000
0.8131 0.6869 0.0000
0.1087 0.6087 0.0000
0.3913 0.1087 0.0000
0.6087 0.8913 0.0000
0.8913 0.3913 0.0000
0.0000 0.0000 0.0000
0.5000 0.5000 0.0000
0.0000 0.5000 0.5000
0.0550 0.7937 0.5000
0.2063 0.0550 0.5000
0.2937 0.5550 0.5000
0.4450 0.2937 0.5000
0.5000 0.0000 0.5000
0.5550 0.7063 0.5000
0.7063 0.4450 0.5000
0.7937 0.9450 0.5000
0.9450 0.2063 0.5000

---

# 2
PBE CoCu2NiPt, optimized geometry; formation energy = 1115.0 meV per atom; SG = P4/mmm (123)
1.0
4.3094 0.0000 0.0000
0.0000 4.3094 0.0000
0.0000 0.0000 4.5520
Co Cu Ni Pt
1 2 1 1
direct
0.0000 0.0000 0.0000
0.0000 0.5000 0.5000
0.5000 0.0000 0.5000
0.5000 0.5000 0.5000
0.5000 0.5000 0.0000

---

# 3
PBE CoCuNiRh, optimized geometry; formation energy = 134.7 meV per atom; SG = F-43m (216)
1.0
5.8218 0.0000 0.0000
0.0000 5.8218 0.0000
0.0000 0.0000 5.8218
Co Cu Ni Rh
4 4 4 4
direct
0.0000 0.0000 0.0000
0.0000 0.5000 0.5000
0.5000 0.0000 0.5000
0.5000 0.5000 0.0000
0.0000 0.0000 0.5000
0.0000 0.5000 0.0000
0.5000 0.0000 0.0000
0.5000 0.5000 0.5000
0.2500 0.2500 0.2500
0.2500 0.7500 0.7500
0.7500 0.2500 0.7500
0.7500 0.7500 0.2500
0.2500 0.2500 0.7500
0.2500 0.7500 0.2500
0.7500 0.2500 0.2500
0.7500 0.7500 0.7500

---

Fermi-level density of states, respectively: 22.01 6.09 23.58 states/eV per cell.